Computed, not measured: crystalline Na2LiAcF6 at its relaxed geometry at the PBE level of DFT.

formation energy (no corrections) = -3.2769 eV per atom

Structure (CIF):
```
data_Na2LiAcF6
_chemical_formula_sum 'Na4 Li2 Ac2 F12'
_symmetry_space_group_name_H-M 'P 1 21/c 1'
_symmetry_Int_Tables_number 14
_cell_length_a 6.2914
_cell_length_b 5.6022
_cell_length_c 8.8007
_cell_angle_alpha 90.00
_cell_angle_beta 111.40
_cell_angle_gamma 90.00
loop_
_symmetry_equiv_pos_as_xyz
'x,y,z'
'-x,-y,-z'
'-x,y+1/2,-z+1/2'
'x,-y+1/2,z+1/2'
loop_
_atom_site_label
_atom_site_type_symbol
_atom_site_fract_x
_atom_site_fract_y
_atom_site_fract_z
_atom_site_occupancy
Na1 Na 0.1565 0.0026 0.2163 1
Li1 Li 0.0000 0.0000 0.5000 1
Ac1 Ac 0.5000 0.0000 0.0000 1
F1 F 0.1507 0.2486 0.9212 1
F2 F 0.1529 0.7475 0.9202 1
F3 F 0.4986 0.2489 0.7498 1
```


Computed, not measured: crystalline NaPmLuOs at its relaxed geometry at the PBE level of DFT.

formation energy from the elements = 0.0584 eV per atom

Structure (CIF):
```
data_NaPmLuOs
_chemical_formula_sum 'Na4 Pm4 Lu4 Os4'
_symmetry_space_group_name_H-M 'F -4 3 m'
_symmetry_Int_Tables_number 216
_symmetry_space_group_name_Hall 'F -4 2 3'
_cell_length_a 7.1100
_cell_length_b 7.1100
_cell_length_c 7.1100
_cell_angle_alpha 90.00
_cell_angle_beta 90.00
_cell_angle_gamma 90.00
loop_
_atom_site_label
_atom_site_type_symbol
_atom_site_fract_x
_atom_site_fract_y
_atom_site_fract_z
_atom_site_occupancy
Na1 Na 0.0000 0.0000 0.0000 1
Pm1 Pm 0.2500 0.2500 0.7500 1
Lu1 Lu 0.2500 0.2500 0.2500 1
Os1 Os 0.0000 0.0000 0.5000 1
```


Computed, not measured: crystalline CsCSe at its relaxed geometry at the PBE level of DFT.

formation energy (no corrections) = -0.2522 eV per atom

Structure (CIF):
```
data_CsCSe
_chemical_formula_sum 'Cs2 C2 Se2'
_symmetry_space_group_name_H-M 'P -1'
_symmetry_Int_Tables_number 2
_cell_length_a 6.4159
_cell_length_b 6.4302
_cell_length_c 6.4657
_cell_angle_alpha 95.28
_cell_angle_beta 116.93
_cell_angle_gamma 116.74
loop_
_symmetry_equiv_pos_as_xyz
'x,y,z'
'-x,-y,-z'
loop_
_atom_site_label
_atom_site_type_symbol
_atom_site_fract_x
_atom_site_fract_y
_atom_site_fract_z
_atom_site_occupancy
Cs1 Cs 0.0000 0.0000 0.0000 1
Cs2 Cs 0.0000 0.5000 0.5000 1
C1 C 0.5003 0.0717 0.5718 1
Se1 Se 0.4973 0.7168 0.2152 1
```


Computed, not measured: crystalline PuMnAl at its relaxed geometry at the PBE level of DFT.

formation energy from the elements = -0.1100 eV per atom

Structure (CIF):
```
data_PuMnAl
_chemical_formula_sum 'Pu2 Mn2 Al2'
_symmetry_space_group_name_H-M 'I 4 m m'
_symmetry_Int_Tables_number 107
_symmetry_space_group_name_Hall 'I 4 -2'
_cell_length_a 3.0372
_cell_length_b 3.0372
_cell_length_c 11.5064
_cell_angle_alpha 90.00
_cell_angle_beta 90.00
_cell_angle_gamma 90.00
loop_
_atom_site_label
_atom_site_type_symbol
_atom_site_fract_x
_atom_site_fract_y
_atom_site_fract_z
_atom_site_occupancy
Pu1 Pu 0.0000 0.0000 0.0000 1
Mn1 Mn 0.0000 0.0000 0.6622 1
Al1 Al 0.0000 0.0000 0.2910 1
```


Computed, not measured: crystalline SiTeMoN2 at its relaxed geometry at the PBE level of DFT.

formation energy (no corrections) = 1.1630 eV per atom

Structure (CIF):
```
data_SiTeMoN2
_chemical_formula_sum 'Si1 Te1 Mo1 N2'
_symmetry_space_group_name_H-M 'P 4/m m m'
_symmetry_Int_Tables_number 123
_symmetry_space_group_name_Hall '-P 4 2'
_cell_length_a 3.6433
_cell_length_b 3.6433
_cell_length_c 6.8187
_cell_angle_alpha 90.00
_cell_angle_beta 90.00
_cell_angle_gamma 90.00
loop_
_atom_site_label
_atom_site_type_symbol
_atom_site_fract_x
_atom_site_fract_y
_atom_site_fract_z
_atom_site_occupancy
Si1 Si 0.0000 0.0000 0.0000 1
Te1 Te 0.0000 0.0000 0.5000 1
Mo1 Mo 0.5000 0.5000 0.5000 1
N1 N 0.0000 0.5000 0.0000 1
```


Computed, not measured: crystalline TiPNO2 at its relaxed geometry at the PBE level of DFT.

formation energy (no corrections) = 0.3198 eV per atom

Structure (CIF):
```
data_TiPNO2
_chemical_formula_sum 'Ti1 P1 N1 O2'
_symmetry_space_group_name_H-M 'P 4/m m m'
_symmetry_Int_Tables_number 123
_symmetry_space_group_name_Hall '-P 4 2'
_cell_length_a 3.7276
_cell_length_b 3.7276
_cell_length_c 3.6734
_cell_angle_alpha 90.00
_cell_angle_beta 90.00
_cell_angle_gamma 90.00
loop_
_atom_site_label
_atom_site_type_symbol
_atom_site_fract_x
_atom_site_fract_y
_atom_site_fract_z
_atom_site_occupancy
Ti1 Ti 0.0000 0.0000 0.0000 1
P1 P 0.5000 0.5000 0.0000 1
N1 N 0.5000 0.5000 0.5000 1
O1 O 0.0000 0.5000 0.5000 1
```


Density of states at the Fermi level
In order: 0.000; 11.509; 0.000; 9.776; 4.069; 2.805
Unit: states/eV per cell